# SiHg2Ru, relaxed, DFT PBE
data_SiHg2Ru
_chemical_formula_sum 'Si2 Hg4 Ru2'
_cell_length_a 7.653
_cell_length_b 7.653
_cell_length_c 6.018
_cell_angle_alpha 50.52
_cell_angle_beta 50.52
_cell_angle_gamma 90.00
_space_group_name_H-M_alt 'P 1'
_space_group_IT_number 1
_space_group_name_Hall 'P 1'
loop_
_atom_site_label
_atom_site_fract_x
_atom_site_fract_y
_atom_site_fract_z
Hg1 0.139 0.625 0.250
Ru1 0.750 0.250 0.500
Si1 0.250 0.750 0.500
Hg2 0.611 0.125 0.250
Si2 0.500 0.500 0.000
Ru2 0.000 0.000 0.000
Hg3 0.875 0.861 0.750
Hg4 0.375 0.389 0.750
# Raw formation energy (eV per atom): 0.695